Here is crystalline Rb2CrGaF at its relaxed geometry from Alexandria. Energies are from PBE+U.

extended XYZ file:
```
5
Lattice="5.3955 0.0000 0.0000 0.0000 5.3955 0.0000 0.0000 0.0000 5.5845" Properties=species:S:1:pos:R:3 pbc="T T T"
Rb 0.0000 2.6978 0.0000
Rb 2.6978 0.0000 0.0000
Cr 0.0000 0.0000 2.7922
Ga 2.6978 2.6978 2.7922
F 2.6978 2.6978 0.0000
```

***

Here is crystalline CrGaRu2F at its relaxed geometry from Alexandria. Energies are from PBE+U.

extended XYZ file:
```
5
Lattice="4.5811 0.0000 0.0000 0.0000 4.5811 0.0000 0.0000 0.0000 3.6308" Properties=species:S:1:pos:R:3 pbc="T T T"
Cr 0.0000 0.0000 0.0000
Ga 2.2905 2.2905 1.8154
Ru 0.0000 2.2905 0.0000
Ru 2.2905 0.0000 0.0000
F 0.0000 0.0000 1.8154
```

***

Here is crystalline TaCrGa2F at its relaxed geometry from Alexandria. Energies are from PBE+U.

extended XYZ file:
```
5
Lattice="4.8999 0.0000 0.0000 0.0000 4.8999 0.0000 0.0000 0.0000 3.5240" Properties=species:S:1:pos:R:3 pbc="T T T"
Ta 0.0000 0.0000 0.0000
Cr 2.4499 2.4499 1.7620
Ga 0.0000 2.4499 1.7620
Ga 2.4499 0.0000 1.7620
F 2.4499 2.4499 0.0000
```

***

Here is crystalline TlCrGa2F8 at its relaxed geometry from Alexandria. Energies are from PBE+U.

extended XYZ file:
```
12
Lattice="2.7868 1.6089 7.6787 -2.7868 1.6089 7.6787 0.0000 -3.2179 7.6787" Properties=species:S:1:pos:R:3 pbc="T T T"
Tl 0.0000 0.0000 0.0000
Cr 0.0000 0.0000 11.5180
Ga 0.0000 0.0000 5.6698
Ga 0.0000 0.0000 17.3663
F -1.0420 -1.5553 10.2339
F -1.8679 0.1248 12.8022
F 0.0000 0.0000 7.4824
F -0.8259 1.6801 10.2338
F 0.8259 -1.6801 12.8022
F 0.0000 0.0000 15.5537
F 1.8679 -0.1248 10.2338
F 1.0420 1.5553 12.8022
```

***

Here is crystalline VCrGaF6 at its relaxed geometry from Alexandria. Energies are from PBE+U.

extended XYZ file:
```
18
Lattice="5.4919 0.0000 0.0000 -2.7459 4.7561 0.0000 0.0000 0.0000 9.4522" Properties=species:S:1:pos:R:3 pbc="T T T"
V 0.0000 3.1707 2.3630
V 2.7459 1.5854 7.0891
Cr 0.0000 0.0000 0.0000
Cr 0.0000 0.0000 4.7261
Ga 0.0000 3.1707 7.0891
Ga 2.7459 1.5854 2.3630
F -0.5759 1.5348 1.0912
F -1.7047 3.4900 3.6349
F 0.5759 1.5348 3.6349
F -1.1288 4.4874 1.0912
F 1.6171 0.2687 5.8173
F 1.0412 1.2661 8.3610
F 1.7047 3.4900 1.0912
F 1.1288 4.4874 3.6349
F 3.8747 0.2687 8.3610
F 2.1700 3.2213 5.8173
F 4.4506 1.2661 5.8173
F 3.3218 3.2213 8.3610
```

***

16
Lattice="5.9864 0.0000 0.0000 0.0000 5.9864 0.0000 0.0000 0.0000 5.9864" Properties=species:S:1:pos:R:3 comment="CrGeF2 | Alexandria | PBE+U | relaxed" e_above_lowest_polymorph_kj_per_mol_fu=529.3 pbc="T T T"
Cr 0.0000 0.0000 0.0000
Cr 0.0000 2.9932 2.9932
Cr 2.9932 0.0000 2.9932
Cr 2.9932 2.9932 0.0000
Ge 0.0000 0.0000 2.9932
Ge 0.0000 2.9932 0.0000
Ge 2.9932 0.0000 0.0000
Ge 2.9932 2.9932 2.9932
F 1.4966 1.4966 1.4966
F 1.4966 1.4966 4.4898
F 1.4966 4.4898 1.4966
F 1.4966 4.4898 4.4898
F 4.4898 1.4966 1.4966
F 4.4898 1.4966 4.4898
F 4.4898 4.4898 1.4966
F 4.4898 4.4898 4.4898

***

16
Lattice="6.6941 0.0000 0.0000 0.0000 6.6941 0.0000 0.0000 0.0000 5.7910" Properties=species:S:1:pos:R:3 comment="CrGeF2 | Alexandria | PBE+U | relaxed" e_above_lowest_polymorph_kj_per_mol_fu=85.9 pbc="T T T"
Cr 0.0000 0.0000 0.0000
Cr 0.0000 3.3471 1.4477
Cr 3.3471 0.0000 4.3432
Cr 3.3471 3.3471 2.8955
Ge 0.0000 0.0000 2.8955
Ge 0.0000 3.3471 4.3432
Ge 3.3471 0.0000 1.4477
Ge 3.3471 3.3471 0.0000
F 0.9245 1.6735 0.7239
F 1.6735 4.2715 2.1716
F 1.6735 5.7697 5.0671
F 2.4226 1.6735 3.6193
F 4.2715 5.0206 3.6193
F 5.0206 0.9245 5.0671
F 5.0206 2.4226 2.1716
F 5.7697 5.0206 0.7239

***

16
Lattice="6.2552 0.0000 0.0000 0.0000 6.2552 0.0000 0.0000 0.0000 6.2552" Properties=species:S:1:pos:R:3 comment="Cr2GeF | Alexandria | PBE+U | relaxed" e_above_lowest_polymorph_kj_per_mol_fu=54.3 pbc="T T T"
Cr 1.5638 1.5638 1.5638
Cr 1.5638 1.5638 4.6914
Cr 1.5638 4.6914 1.5638
Cr 1.5638 4.6914 4.6914
Cr 4.6914 1.5638 1.5638
Cr 4.6914 1.5638 4.6914
Cr 4.6914 4.6914 1.5638
Cr 4.6914 4.6914 4.6914
Ge 0.0000 0.0000 0.0000
Ge 0.0000 3.1276 3.1276
Ge 3.1276 0.0000 3.1276
Ge 3.1276 3.1276 0.0000
F 0.0000 0.0000 3.1276
F 0.0000 3.1276 0.0000
F 3.1276 0.0000 0.0000
F 3.1276 3.1276 3.1276

***

5
Lattice="4.5619 0.0000 0.0000 0.0000 4.5619 0.0000 0.0000 0.0000 4.5619" Properties=species:S:1:pos:R:3 comment="CrGe3F | Alexandria | PBE+U | relaxed" e_above_lowest_polymorph_kj_per_mol_fu=0.0 pbc="T T T"
Cr 0.0000 0.0000 0.0000
Ge 0.0000 2.2809 2.2809
Ge 2.2809 0.0000 2.2809
Ge 2.2809 2.2809 0.0000
F 2.2809 2.2809 2.2809

***

Here is crystalline CrGeF5 at its relaxed geometry from Alexandria. Energies are from PBE+U.

extended XYZ file:
```
14
Lattice="4.4323 -3.2961 0.0000 4.4323 3.2961 0.0000 -3.4289 0.0000 7.0195" Properties=species:S:1:pos:R:3 pbc="T T T"
Cr 1.8606 3.2920 5.2647
Cr 3.5751 -3.2920 1.7549
Ge 4.4323 0.0000 0.0000
Ge 2.7179 0.0000 3.5098
F 4.4262 2.0095 0.0014
F 2.7240 2.0095 3.5083
F 0.9263 0.0073 2.6349
F -0.7882 -0.0073 6.1447
F 1.8606 0.0055 5.2647
F 3.5751 -0.0055 1.7549
F 6.2239 0.0073 0.8748
F 4.5094 -0.0073 4.3846
F 2.7118 -2.0095 3.5112
F 1.0095 -2.0095 7.0181
```

***

5
Lattice="4.6425 0.0000 0.0000 0.0000 4.6425 0.0000 0.0000 0.0000 4.6425" Properties=species:S:1:pos:R:3 comment="CrGe3F | Alexandria | PBE+U | relaxed" e_above_lowest_polymorph_kj_per_mol_fu=34.2 pbc="T T T"
Cr 0.0000 0.0000 0.0000
Ge 0.0000 0.0000 2.3212
Ge 0.0000 2.3212 0.0000
Ge 2.3212 0.0000 0.0000
F 2.3212 2.3212 2.3212

***

Here is crystalline CrGeF4 at its relaxed geometry from Alexandria. Energies are from PBE+U.

extended XYZ file:
```
12
Lattice="5.9272 0.0000 0.0000 0.0000 5.6041 0.0000 0.0000 0.0000 5.6371" Properties=species:S:1:pos:R:3 pbc="T T T"
Cr 0.0000 0.2353 0.0000
Cr 2.9636 5.3688 2.8186
Ge 0.0000 3.2966 3.1181
Ge 2.9636 2.3075 0.2995
F 0.0000 2.0408 4.8169
F 0.0000 4.3261 1.2370
F 1.2549 4.6056 4.0033
F 1.7088 0.9984 1.1847
F 2.9636 1.2780 4.0556
F 2.9636 3.5633 1.9984
F 4.2185 0.9984 1.1847
F 4.6724 4.6056 4.0033
```

***

Uncorrected energy per entry: -3.34, -5.48, -4.87, -4.80, -5.65, -3.97, -5.12, -5.62, -4.55, -5.34, -4.48, -5.52 eV/atom